This record from Alexandria describes a relaxed CeGdYIn crystal. The functional is PBE.

Cell: 5.457 5.457 5.457 Å, 60.00 60.00 60.00°
Sites, in units of the cell vectors:
In (0.000, 0.000, 0.000)
Y (0.750, 0.750, 0.750)
Ce (0.500, 0.500, 0.500)
Gd (0.250, 0.250, 0.250)

The calculation puts the total magnetization at 10.9 μB/f.u. The formation energy comes out at -0.09 eV/atom. The calculation puts the calculated volume at 114.91 Å³ per cell. The space group is No. 216.

***

This record from Alexandria describes a relaxed OsPb2 crystal. The functional is PBE.

Cell: 4.833 4.833 3.481 Å, 90.00 90.00 120.00°
Sites, in units of the cell vectors:
Os (0.000, 0.000, 0.000)
Pb (0.667, 0.333, 0.758)
Pb (0.333, 0.667, 0.242)

The calculation puts the total magnetization at 0.0 μB/f.u. The formation energy comes out at 1.02 eV/atom. The calculation puts the calculated volume at 70.41 Å³ per cell. The space group is No. 164.

***

This record from Alexandria describes a relaxed MgScTl2F6 crystal. The functional is PBE.

Cell: 5.891 6.193 8.379 Å, 90.00 90.00 90.00°
Sites, in units of the cell vectors:
Mg (0.000, 0.750, 0.500)
F (0.000, 0.750, 0.250)
Tl (0.500, 0.750, 0.243)
F (0.256, 0.516, 0.500)
F (0.244, 0.484, 0.000)
F (0.256, 0.984, 0.500)
F (0.000, 0.750, 0.750)
Sc (0.500, 0.250, 0.500)
F (0.744, 0.984, 0.500)
F (0.244, 0.016, 0.000)
Mg (0.500, 0.250, 0.000)
F (0.744, 0.516, 0.500)
F (0.756, 0.484, 0.000)
Tl (0.000, 0.250, 0.257)
F (0.756, 0.016, 0.000)
F (0.500, 0.250, 0.250)
Tl (0.500, 0.750, 0.757)
Tl (0.000, 0.250, 0.743)
Sc (0.000, 0.750, 0.000)
F (0.500, 0.250, 0.750)

The calculation puts the total magnetization at 0.6 μB/f.u. As for the electronic total energy: -5.178 eV per atom. The calculation puts the calculated volume at 305.69 Å³ per cell. The space group is No. 71.

***

This record from Alexandria describes a relaxed Zr4CuAu crystal. The functional is PBE.

Cell: 5.388 6.756 6.756 Å, 90.00 90.00 90.00°
Sites, in units of the cell vectors:
Zr (0.500, 0.351, 0.838)
Zr (0.000, 0.649, 0.838)
Au (0.250, 0.000, 0.000)
Zr (0.000, 0.838, 0.351)
Zr (0.000, 0.162, 0.649)
Au (0.750, 0.000, 0.000)
Zr (0.500, 0.838, 0.649)
Zr (0.500, 0.162, 0.351)
Cu (0.750, 0.500, 0.500)
Cu (0.250, 0.500, 0.500)
Zr (0.000, 0.351, 0.162)
Zr (0.500, 0.649, 0.162)

The calculation puts the total magnetization at 0.0 μB/f.u. The formation energy comes out at -0.21 eV/atom. The calculation puts the energy above the most stable polymorph in this dataset at 0.062 eV/atom. The calculation puts the calculated volume at 245.92 Å³ per cell. The space group is No. 124.

***

This record from Alexandria describes a relaxed Cr2MoW crystal. The functional is PBE.

Cell: 2.634 4.332 5.011 Å, 90.00 90.00 90.00°
Sites, in units of the cell vectors:
W (0.500, 0.500, 0.766)
Cr (0.500, 0.500, 0.252)
Mo (0.000, 0.000, 0.483)
Cr (0.000, 0.000, 0.999)

The calculation puts the total magnetization at 0.0 μB/f.u. The formation energy comes out at 0.40 eV/atom. The calculation puts the calculated volume at 57.19 Å³ per cell. The space group is No. 25.

***

This record from Alexandria describes a relaxed SnP2Os2 crystal. The functional is PBE.

Cell: 4.190 4.190 5.496 Å, 67.59 67.59 90.00°
Sites, in units of the cell vectors:
P (0.629, 0.629, 0.743)
Sn (0.000, 0.000, 0.000)
Os (0.750, 0.250, 0.500)
Os (0.250, 0.750, 0.500)
P (0.371, 0.371, 0.257)

The calculation puts the total magnetization at 0.0 μB/f.u. The formation energy comes out at -0.06 eV/atom. The calculation puts the energy above the most stable polymorph in this dataset at 0.000 eV/atom. The calculation puts the calculated volume at 81.25 Å³ per cell. The space group is No. 139.

***

The highest calculated volume belongs to which entry? MgScTl2F6